Entry 1:
A plane-wave DFT calculation with PBE was carried out for crystalline CsHoI4 at its relaxed geometry.

The structure in POSCAR format:
```
CsHoI4
1.0
7.8174 0.1364 -1.2184
-2.3294 9.5112 -4.3702
0.1922 -0.2216 10.7192
Cs Ho I
2 2 8
Direct
0.2500 0.7512 0.7488 Cs
0.7500 0.2488 0.2512 Cs
0.7500 0.9346 0.5654 Ho
0.2500 0.0654 0.4346 Ho
0.3009 0.0049 0.1477 I
0.1991 0.3523 0.4951 I
0.3685 0.7932 0.4068 I
0.6315 0.2068 0.5932 I
0.8685 0.9068 0.2932 I
0.8009 0.6477 0.5049 I
0.1315 0.0932 0.7068 I
0.6991 0.9951 0.8523 I
```

Results
SG: C2/c, No. 15
Energy relative to the elements, uncorrected in eV per atom: -1.453
Offset from the most stable computed form in meV per atom: 0.0

=====

Entry 2:
A plane-wave DFT calculation with PBE was carried out for crystalline CrPt2Cl at its relaxed geometry.

The structure in POSCAR format:
```
CrPt2Cl
1.0
2.7731 0.0000 0.0000
0.0000 2.7731 0.0000
0.0000 0.0000 8.6227
Cr Pt Cl
1 2 1
Direct
0.5000 0.5000 0.7549 Cr
0.0000 0.0000 0.9588 Pt
0.5000 0.5000 0.1973 Pt
0.0000 0.0000 0.5890 Cl
```

Results
SG: P4mm, No. 99
Energy relative to the elements, uncorrected in eV per atom: 0.069
Offset from the most stable computed form in meV per atom: 88.0

=====

Entry 3:
A plane-wave DFT calculation with PBE was carried out for crystalline LiScHIr2 at its relaxed geometry.

The structure in POSCAR format:
```
LiScHIr2
1.0
4.0194 0.0000 0.0000
0.0000 4.0194 0.0000
0.0000 0.0000 3.8498
Sc H Ir Li
1 1 2 1
Direct
0.5000 0.5000 0.5000 Sc
0.0000 0.0000 0.0000 H
0.0000 0.5000 0.0000 Ir
0.5000 0.0000 0.0000 Ir
0.0000 0.0000 0.5000 Li
```

Results
SG: P4/mmm, No. 123

=====

Number 1: E_tot -40.70 eV/cell, total moment 0.00 μB per cell. Number 2: E_tot -23.28 eV/cell, total moment 0.00 μB per cell. Number 3: E_tot -31.65 eV/cell, total moment 0.00 μB per cell.